[1]
# Sc2HRhAu

An optimized crystal structure of Sc2HRhAu (GGA-PBE, Alexandria via LeMat-Bulk).

Cell lengths 4.5431, 4.5431, 3.6692 Å; angles 90.00, 90.00, 90.00 degrees
Fractional positions:
Sc: 0.0000 0.5000 0.0000
Sc: 0.5000 0.0000 0.0000
H: 0.0000 0.0000 0.0000
Rh: 0.0000 0.0000 0.5000
Au: 0.5000 0.5000 0.5000

Computed properties:
Spin magnetization ... 0.0 μB per formula unit
E_tot ... -30.3 eV/f.u.
Symmetry ... P4/mmm (123)
D(E_F) ... 3.7 states/eV/f.u.



[2]
# ScHRh2Au

An optimized crystal structure of ScHRh2Au (GGA-PBE, Alexandria via LeMat-Bulk).

Cell lengths 4.0812, 4.0812, 4.0048 Å; angles 90.00, 90.00, 90.00 degrees
Fractional positions:
Sc: 0.0000 0.0000 0.0000
H: 0.5000 0.5000 0.5000
Rh: 0.0000 0.5000 0.5000
Rh: 0.5000 0.0000 0.5000
Au: 0.5000 0.5000 0.0000

Computed properties:
Spin magnetization ... 0.0 μB per formula unit
ΔE to the lowest computed polymorph ... 65 meV per atom
E_tot ... -30.1 eV/f.u.
Symmetry ... P4/mmm (123)
D(E_F) ... 4.1 states/eV/f.u.



[3]
# SnHRh2Au

An optimized crystal structure of SnHRh2Au (GGA-PBE, Alexandria via LeMat-Bulk).

Cell lengths 4.1674, 4.1674, 3.9540 Å; angles 90.00, 90.00, 90.00 degrees
Fractional positions:
Sn: 0.0000 0.0000 0.0000
H: 0.5000 0.5000 0.5000
Rh: 0.0000 0.5000 0.5000
Rh: 0.5000 0.0000 0.5000
Au: 0.5000 0.5000 0.0000

Computed properties:
Spin magnetization ... 0.0 μB per formula unit
E_tot ... -26.1 eV/f.u.
Symmetry ... P4/mmm (123)
D(E_F) ... 0.9 states/eV/f.u.



[4]
# SnHRhAu2

An optimized crystal structure of SnHRhAu2 (GGA-PBE, Alexandria via LeMat-Bulk).

Cell lengths 4.6205, 4.6205, 3.5710 Å; angles 90.00, 90.00, 90.00 degrees
Fractional positions:
Sn: 0.0000 0.0000 0.0000
H: 0.5000 0.5000 0.5000
Rh: 0.5000 0.5000 0.0000
Au: 0.0000 0.5000 0.5000
Au: 0.5000 0.0000 0.5000

Computed properties:
Spin magnetization ... 0.0 μB per formula unit
E_tot ... -20.9 eV/f.u.
Symmetry ... P4/mmm (123)
D(E_F) ... 2.2 states/eV/f.u.



[5]
# Sr2HRhAu

An optimized crystal structure of Sr2HRhAu (GGA-PBE, Alexandria via LeMat-Bulk).

Cell lengths 5.4493, 5.4493, 3.5999 Å; angles 90.00, 90.00, 90.00 degrees
Fractional positions:
Sr: 0.0000 0.5000 0.0000
Sr: 0.5000 0.0000 0.0000
H: 0.0000 0.0000 0.0000
Rh: 0.0000 0.0000 0.5000
Au: 0.5000 0.5000 0.5000

Computed properties:
Spin magnetization ... 0.0 μB per formula unit
E_tot ... -20.0 eV/f.u.
Symmetry ... P4/mmm (123)
D(E_F) ... 2.1 states/eV/f.u.



[6]
# Sr2H12Rh3Au

An optimized crystal structure of Sr2H12Rh3Au (GGA-PBE, Alexandria via LeMat-Bulk).

Cell lengths 6.2452, 6.2452, 6.2452 Å; angles 60.88, 60.88, 60.88 degrees
Fractional positions:
Sr: 0.1209 0.1209 0.1209
Sr: 0.8791 0.8791 0.8791
H: 0.1289 0.6022 0.6022
H: 0.1684 0.1684 0.6014
H: 0.1684 0.6014 0.1684
H: 0.3978 0.3978 0.8711
H: 0.3978 0.8711 0.3978
H: 0.3986 0.8316 0.8316
H: 0.6014 0.1684 0.1684
H: 0.6022 0.1289 0.6022
H: 0.6022 0.6022 0.1289
H: 0.8316 0.3986 0.8316
H: 0.8316 0.8316 0.3986
H: 0.8711 0.3978 0.3978
Rh: 0.0000 0.5000 0.5000
Rh: 0.5000 0.0000 0.5000
Rh: 0.5000 0.5000 0.0000
Au: 0.5000 0.5000 0.5000

Computed properties:
Spin magnetization ... 0.0 μB per formula unit
E_tot ... -73.6 eV/f.u.
Symmetry ... R-3m (166)
D(E_F) ... 4.5 states/eV/f.u.



[7]
# Sr2H6RhAu

An optimized crystal structure of Sr2H6RhAu (GGA-PBE, Alexandria via LeMat-Bulk).

Cell lengths 5.2636, 5.2636, 5.4167 Å; angles 90.00, 90.00, 120.00 degrees
Fractional positions:
Sr: 0.3333 0.6667 0.2324
Sr: 0.6667 0.3333 0.7676
H: 0.1639 0.3278 0.8286
H: 0.1639 0.8361 0.8286
H: 0.3278 0.1639 0.1714
H: 0.6722 0.8361 0.8286
H: 0.8361 0.1639 0.1714
H: 0.8361 0.6722 0.1714
Rh: 0.0000 0.0000 0.0000
Au: 0.0000 0.0000 0.5000

Computed properties:
Spin magnetization ... 0.0 μB per formula unit
E_tot ... -37.6 eV/f.u.
Symmetry ... P-3m1 (164)
D(E_F) ... 2.0 states/eV/f.u.



[8]
# Te2HRhAu

An optimized crystal structure of Te2HRhAu (GGA-PBE, Alexandria via LeMat-Bulk).

Cell lengths 3.3197, 4.7351, 6.1155 Å; angles 90.00, 90.00, 90.00 degrees
Fractional positions:
Te: 0.0000 0.0000 0.0000
Te: 0.5000 0.5000 0.4381
H: 0.0000 0.0000 0.5440
Rh: 0.5000 0.0000 0.6499
Au: 0.5000 0.5000 0.9426

Computed properties:
Spin magnetization ... 0.0 μB per formula unit
ΔE to the lowest computed polymorph ... 103 meV per atom
E_tot ... -20.4 eV/f.u.
Symmetry ... Pmm2 (25)
D(E_F) ... 2.8 states/eV/f.u.



[9]
# Te2HRhAu

An optimized crystal structure of Te2HRhAu (GGA-PBE, Alexandria via LeMat-Bulk).

Cell lengths 4.0614, 8.4655, 8.4655 Å; angles 22.76, 90.00, 90.00 degrees
Fractional positions:
Te: 0.0000 0.0000 0.0000
Te: 0.0000 0.2065 0.2065
H: 0.5000 0.6213 0.6213
Rh: 0.5000 0.1028 0.1028
Au: 0.0000 0.3671 0.3671

Computed properties:
Spin magnetization ... 0.0 μB per formula unit
ΔE to the lowest computed polymorph ... 60 meV per atom
E_tot ... -20.6 eV/f.u.
Symmetry ... Amm2 (38)
D(E_F) ... 2.4 states/eV/f.u.



[10]
# Te2HRhAu

An optimized crystal structure of Te2HRhAu (GGA-PBE, Alexandria via LeMat-Bulk).

Cell lengths 3.1275, 3.9000, 8.0377 Å; angles 90.00, 90.06, 90.00 degrees
Fractional positions:
Te: 0.0000 0.0000 0.0000
Te: 0.0061 0.0000 0.4654
H: 0.5004 0.5000 0.1596
Rh: 0.0011 0.5000 0.2350
Au: 0.0017 0.5000 0.7335

Computed properties:
Spin magnetization ... 0.0 μB per formula unit
ΔE to the lowest computed polymorph ... 92 meV per atom
E_tot ... -20.4 eV/f.u.
Symmetry ... Pm (6)
D(E_F) ... 2.6 states/eV/f.u.



[11]
# Te2HRhAu

An optimized crystal structure of Te2HRhAu (GGA-PBE, Alexandria via LeMat-Bulk).

Cell lengths 4.4518, 4.4518, 7.0800 Å; angles 99.94, 99.94, 49.62 degrees
Fractional positions:
Te: 0.0000 0.0000 0.0000
Te: 0.6802 0.6802 0.5681
H: 0.4264 0.4264 0.7059
Rh: 0.2870 0.2870 0.8328
Au: 0.9069 0.9069 0.3387

Computed properties:
Spin magnetization ... 0.0 μB per formula unit
ΔE to the lowest computed polymorph ... 41 meV per atom
E_tot ... -20.7 eV/f.u.
Symmetry ... Cm (8)
D(E_F) ... 2.2 states/eV/f.u.



[12]
# Te2HRhAu

An optimized crystal structure of Te2HRhAu (GGA-PBE, Alexandria via LeMat-Bulk).

Cell lengths 4.0124, 4.3693, 6.4865 Å; angles 96.27, 103.43, 106.64 degrees
Fractional positions:
Te: 0.0000 0.0000 0.0000
Te: 0.3484 0.5673 0.4173
H: 0.3971 0.5768 0.9819
Rh: 0.6819 0.4434 0.1243
Au: 0.5575 0.1757 0.6782

Computed properties:
Spin magnetization ... 0.0 μB per formula unit
ΔE to the lowest computed polymorph ... 88 meV per atom
E_tot ... -20.5 eV/f.u.
Symmetry ... P1 (1)
D(E_F) ... 1.9 states/eV/f.u.



Which of these has the lowest E_tot? Sr2H12Rh3Au



Copy entry 3 word for word.
# SnHRh2Au

An optimized crystal structure of SnHRh2Au (GGA-PBE, Alexandria via LeMat-Bulk).

Cell lengths 4.1674, 4.1674, 3.9540 Å; angles 90.00, 90.00, 90.00 degrees
Fractional positions:
Sn: 0.0000 0.0000 0.0000
H: 0.5000 0.5000 0.5000
Rh: 0.0000 0.5000 0.5000
Rh: 0.5000 0.0000 0.5000
Au: 0.5000 0.5000 0.0000

Computed properties:
Spin magnetization ... 0.0 μB per formula unit
E_tot ... -26.1 eV/f.u.
Symmetry ... P4/mmm (123)
D(E_F) ... 0.9 states/eV/f.u.



Look up the E_tot of the eleventh one. -20.7 eV/f.u.



What is the formula in the ninth record? Te2HRhAu